{
  "formula": "LiZnNi2C",
  "functional": "PBE",
  "state": "optimized geometry",
  "cell": [[4.504, 0.000, 0.000], [0.000, 4.504, 0.000], [0.000, 0.000, 3.622]],
  "species": ["Li", "Zn", "Ni", "Ni", "C"],
  "fractional_positions": [[0.000, 0.000, 0.000], [0.500, 0.500, 0.500], [0.000, 0.500, 0.500], [0.500, 0.000, 0.500], [0.500, 0.500, 0.000]],
  "relative_energy_mev_per_atom": 1264,
  "m_tot_mub_per_fu": 0.65,
  "volume_a3_per_atom": 14.70,
  "dos_ef_per_ev_cell": 4.29,
  "formation_enthalpy_0k_mev_per_atom": 1267,
  "energy_ev_per_atom": -3.528
}

---

{
  "formula": "LiZnNi2C",
  "functional": "PBE",
  "state": "optimized geometry",
  "cell": [[3.726, 0.000, 0.000], [0.000, 3.726, 0.000], [0.000, 0.000, 3.942]],
  "species": ["Li", "Zn", "Ni", "Ni", "C"],
  "fractional_positions": [[0.000, 0.000, 0.000], [0.500, 0.500, 0.000], [0.000, 0.500, 0.500], [0.500, 0.000, 0.500], [0.000, 0.000, 0.500]],
  "relative_energy_mev_per_atom": 0,
  "m_tot_mub_per_fu": 0.00,
  "volume_a3_per_atom": 10.95,
  "dos_ef_per_ev_cell": 3.62,
  "formation_enthalpy_0k_mev_per_atom": 4,
  "energy_ev_per_atom": -4.791
}